Arrangement one

VASP calculation (PBE+U) on a geometry-optimized LiCrP4O12 structure.

Computed properties:
As for the theoretical density: 2.47 Mg/m³.

Lattice parameters (Å, degrees): 5.2163 13.3993 7.3182 90.00 99.43 90.00
Last column: nearest neighbours and their distance in Å.
Space group P2_1 (No. 4)
Unique sites:
1 Li 0.1539 0.0000 0.1258  2 O 1.85-1.90
2 Cr 0.0153 0.6791 0.5810  6 O 1.97-2.04
3 P 0.2914 0.7880 0.9556  4 O 1.48-1.65
4 P 0.3497 0.1440 0.8221  4 O 1.47-1.64
5 P 0.4788 0.3241 0.3832  4 O 1.50-1.60
6 P 0.4846 0.5447 0.4989  4 O 1.51-1.59
7 O 0.1074 0.1701 0.6884  1 P 1.51
8 O 0.1404 0.8685 0.0268  1 P 1.48
9 O 0.1564 0.6993 0.8515  1 P 1.52
10 O 0.2012 0.3025 0.4009  1 P 1.50
11 O 0.2302 0.5524 0.5702  1 P 1.51
12 O 0.2759 0.0852 0.3755  1 P 1.52
13 O 0.3169 0.7541 0.5208  1 P 1.50
14 O 0.3269 0.0848 0.9883  1 P 1.47
15 O 0.4453 0.9302 0.5239  2 P 1.59-1.60
16 O 0.4510 0.5872 0.2943  2 P 1.58-1.64
17 O 0.4906 0.8384 0.8284  2 P 1.59-1.65
18 O 0.4969 0.7470 0.1274  2 P 1.61

=====

Arrangement two

VASP calculation (PBE+U) on a geometry-optimized LiCrP4O12 structure.

Computed properties:
As for the theoretical density: 2.59 Mg/m³.

Lattice parameters (Å, degrees): 9.0241 11.3822 18.7476 90.00 90.00 90.00
Last column: nearest neighbours and their distance in Å.
Space group C222_1 (No. 20)
Unique sites:
1 Li 0.2401 0.0999 0.3497  2 O 1.86-1.90
2 Cr 0.2198 0.3046 0.1147  6 O 1.94-2.11
3 P 0.0000 0.3980 0.2500  4 O 1.50-1.61
4 P 0.0284 0.2583 0.4994  4 O 1.50-1.62
5 P 0.0707 0.1646 0.8653  4 O 1.48-1.64
6 P 0.0998 0.5000 0.0000  4 O 1.52-1.60
7 P 0.2460 0.4588 0.6891  4 O 1.48-1.63
8 O 0.0098 0.3956 0.5210  2 P 1.60-1.62
9 O 0.0207 0.2444 0.0770  1 P 1.51
10 O 0.0813 0.1859 0.9517  2 P 1.58-1.64
11 O 0.0814 0.4829 0.3061  2 P 1.61-1.63
12 O 0.0888 0.1311 0.6503  1 P 1.52
13 O 0.1138 0.3318 0.2075  1 P 1.50
14 O 0.1435 0.2650 0.8294  1 P 1.48
15 O 0.1677 0.0473 0.8639  2 P 1.60-1.61
16 O 0.1818 0.0491 0.2595  1 P 1.48
17 O 0.1825 0.4712 0.0686  1 P 1.52
18 O 0.1850 0.2246 0.5174  1 P 1.50
19 O 0.2190 0.3524 0.6431  1 P 1.51

=====

Most stable of them? arrangement one.

=====

Arrangement one

VASP calculation (PBE+U) on a geometry-optimized LiCrP4O12 structure.

Computed properties:
As for the theoretical density: 2.66 Mg/m³.

Lattice parameters (Å, degrees): 7.7180 12.9003 12.0645 90.00 128.81 90.00
Last column: nearest neighbours and their distance in Å.
Space group P2_1/c (No. 14)
Unique sites:
1 Li 0.2200 0.2123 0.0150  3 O 1.96-2.10
2 Cr 0.3865 0.7360 0.5013  6 O 1.97-2.06
3 P 0.0824 0.1559 0.2785  4 O 1.50-1.62
4 P 0.1860 0.5684 0.7557  4 O 1.48-1.62
5 P 0.2939 0.6405 0.2190  4 O 1.49-1.60
6 P 0.4274 0.0808 0.7409  4 O 1.47-1.62
7 O 0.0106 0.1034 0.8868  1 P 1.48
8 O 0.0465 0.6715 0.1566  2 P 1.60-1.62
9 O 0.0714 0.6827 0.3775  1 P 1.51
10 O 0.1364 0.0365 0.3048  2 P 1.57-1.62
11 O 0.2658 0.5188 0.1926  2 P 1.59-1.62
12 O 0.2891 0.2196 0.3753  1 P 1.50
13 O 0.2909 0.6379 0.8832  1 P 1.50
14 O 0.3060 0.1614 0.6303  1 P 1.47
15 O 0.3422 0.6920 0.1305  1 P 1.49
16 O 0.3794 0.5243 0.7531  2 P 1.62
17 O 0.4506 0.6644 0.3776  1 P 1.52
18 O 0.4776 0.6049 0.6077  1 P 1.51

=====

Arrangement two

VASP calculation (PBE+U) on a geometry-optimized LiCrP4O12 structure.

Computed properties:
As for the theoretical density: 2.48 Mg/m³.

Lattice parameters (Å, degrees): 9.4246 14.1862 7.7483 90.00 104.55 90.00
Last column: nearest neighbours and their distance in Å.
Space group Cc (No. 9)
Unique sites:
1 Li 0.0000 0.1554 0.0000  3 O 1.88-2.08
2 Cr 0.1616 0.3731 0.4679  6 O 1.99-2.02
3 P 0.0405 0.4202 0.0442  4 O 1.50-1.61
4 P 0.0723 0.1776 0.6219  4 O 1.47-1.62
5 P 0.2539 0.1711 0.3813  4 O 1.47-1.62
6 P 0.2994 0.4230 0.8901  4 O 1.51-1.61
7 O 0.0355 0.2725 0.5303  1 P 1.52
8 O 0.0383 0.3703 0.2147  1 P 1.50
9 O 0.0436 0.4738 0.5443  1 P 1.50
10 O 0.0976 0.1686 0.8169  1 P 1.47
11 O 0.1432 0.1455 0.2174  1 P 1.47
12 O 0.1722 0.3784 0.9695  2 P 1.61
13 O 0.2091 0.1335 0.5583  2 P 1.62
14 O 0.2911 0.4702 0.3913  1 P 1.52
15 O 0.2970 0.3753 0.7159  1 P 1.51
16 O 0.3003 0.2749 0.4145  1 P 1.54
17 O 0.4016 0.1126 0.3921  2 P 1.60-1.61
18 O 0.4436 0.3964 0.0334  2 P 1.57-1.62

=====

Most stable of them? arrangement two.

=====

Arrangement one

VASP calculation (PBE+U) on a geometry-optimized LiCrP4O12 structure.

Computed properties:
As for the theoretical density: 2.67 Mg/m³.

Lattice parameters (Å, degrees): 15.3563 7.3435 9.6950 90.00 121.49 90.00
Last column: nearest neighbours and their distance in Å.
Space group C2/c (No. 15)
Unique sites:
1 Li 0.0000 0.1930 0.2500  4 O 1.92-2.13
2 Cr 0.0000 0.3649 0.7500  6 O 2.01-2.03
3 P 0.1311 0.0791 0.6405  4 O 1.48-1.62
4 P 0.1348 0.3352 0.1562  4 O 1.50-1.60
5 O 0.0677 0.4234 0.2082  1 P 1.51
6 O 0.0826 0.0912 0.4631  1 P 1.48
7 O 0.0940 0.1946 0.7276  1 P 1.50
8 O 0.1101 0.3630 0.9864  1 P 1.50
9 O 0.1332 0.1265 0.2019  2 P 1.60-1.62
10 O 0.2481 0.3924 0.2806  2 P 1.57-1.61

=====

Arrangement two

VASP calculation (PBE+U) on a geometry-optimized LiCrP4O12 structure.

Computed properties:
As for the theoretical density: 2.51 Mg/m³.

Lattice parameters (Å, degrees): 12.7327 8.3715 9.3107 90.00 90.00 90.00
Last column: nearest neighbours and their distance in Å.
Space group Pbcn (No. 60)
Unique sites:
1 Li 0.0000 0.0032 0.2500  4 O 1.93-2.08
2 Cr 0.0000 0.3700 0.2500  6 O 2.00-2.01
3 P 0.1376 0.1793 0.0054  4 O 1.48-1.62
4 P 0.1506 0.4654 0.5101  4 O 1.51-1.60
5 O 0.0634 0.1920 0.1332  1 P 1.52
6 O 0.0699 0.4647 0.6288  1 P 1.51
7 O 0.1024 0.0934 0.8756  1 P 1.48
8 O 0.1260 0.3684 0.3783  1 P 1.51
9 O 0.1794 0.3555 0.9640  2 P 1.60-1.61
10 O 0.2419 0.1000 0.0756  2 P 1.59-1.62

=====

Most stable of them? arrangement two.